Version A
# GGA-PBE Pm6Sm2Ho3, optimized geometry
data_Pm6Sm2Ho3
_chemical_formula_sum 'Pm12 Sm4 Ho6'
_symmetry_space_group_name_H-M 'I 4/m m m'
_symmetry_Int_Tables_number 139
_symmetry_space_group_name_Hall '-I 4 2'
_cell_length_a 4.7864
_cell_length_b 4.7864
_cell_length_c 33.7792
_cell_angle_alpha 90.00
_cell_angle_beta 90.00
_cell_angle_gamma 90.00
loop_
_atom_site_label
_atom_site_fract_x
_atom_site_fract_y
_atom_site_fract_z
Pm1 0.0000 0.0000 0.1996
Pm2 0.0000 0.5000 0.1212
Sm1 0.0000 0.0000 0.0453
Ho1 0.0000 0.0000 0.3014
Ho2 0.0000 0.0000 0.5000
# magnetization: 0.00 μB per cell



Version B
# GGA-PBE Pm6Sm2Ho3, optimized geometry
data_Pm6Sm2Ho3
_chemical_formula_sum 'Pm6 Sm2 Ho3'
_symmetry_space_group_name_H-M 'P -1'
_symmetry_Int_Tables_number 2
_cell_length_a 3.6127
_cell_length_b 6.2499
_cell_length_c 16.9399
_cell_angle_alpha 90.11
_cell_angle_beta 90.01
_cell_angle_gamma 106.73
loop_
_symmetry_equiv_pos_as_xyz
'x,y,z'
'-x,-y,-z'
loop_
_atom_site_label
_atom_site_fract_x
_atom_site_fract_y
_atom_site_fract_z
Pm1 0.0446 0.0904 0.1821
Pm2 0.1365 0.2716 0.5452
Pm3 0.2270 0.4527 0.9091
Sm1 0.3165 0.6340 0.2737
Ho1 0.4096 0.8190 0.6359
Ho2 0.5000 0.0000 0.0000
# magnetization: 0.00 μB per cell



Relative energies, kJ/mol of atoms: version A 26.0; version B 0.0.



Version A
# GGA-PBE Pm2Sm4Ho5, optimized geometry
data_Pm2Sm4Ho5
_chemical_formula_sum 'Pm4 Sm8 Ho10'
_symmetry_space_group_name_H-M 'C 1 2/m 1'
_symmetry_Int_Tables_number 12
_cell_length_a 23.9775
_cell_length_b 3.4737
_cell_length_c 8.7757
_cell_angle_alpha 90.00
_cell_angle_beta 96.72
_cell_angle_gamma 90.00
loop_
_symmetry_equiv_pos_as_xyz
'x,y,z'
'-x,-y,-z'
'-x,y,-z'
'x,-y,z'
'x+1/2,y+1/2,z'
'-x+1/2,-y+1/2,-z'
'-x+1/2,y+1/2,-z'
'x+1/2,-y+1/2,z'
loop_
_atom_site_label
_atom_site_fract_x
_atom_site_fract_y
_atom_site_fract_z
Pm1 0.0905 0.0000 0.2404
Sm1 0.0457 0.0000 0.8582
Sm2 0.1785 0.5000 0.9711
Ho1 0.0000 0.5000 0.5000
Ho2 0.1419 0.0000 0.6173
Ho3 0.2325 0.0000 0.3281
# magnetization: 0.00 μB per cell



Version B
# GGA-PBE Pm2Sm4Ho5, optimized geometry
data_Pm2Sm4Ho5
_chemical_formula_sum 'Pm4 Sm8 Ho10'
_symmetry_space_group_name_H-M 'C 1 2/m 1'
_symmetry_Int_Tables_number 12
_cell_length_a 24.0313
_cell_length_b 3.4326
_cell_length_c 8.8719
_cell_angle_alpha 90.00
_cell_angle_beta 93.70
_cell_angle_gamma 90.00
loop_
_symmetry_equiv_pos_as_xyz
'x,y,z'
'-x,-y,-z'
'-x,y,-z'
'x,-y,z'
'x+1/2,y+1/2,z'
'-x+1/2,-y+1/2,-z'
'-x+1/2,y+1/2,-z'
'x+1/2,-y+1/2,z'
loop_
_atom_site_label
_atom_site_fract_x
_atom_site_fract_y
_atom_site_fract_z
Pm1 0.0448 0.0000 0.3531
Sm1 0.0894 0.0000 0.7354
Sm2 0.2171 0.5000 0.8280
Ho1 0.0000 0.5000 0.0000
Ho2 0.1371 0.0000 0.0940
Ho3 0.1876 0.0000 0.4729
# magnetization: 0.00 μB per cell



Relative energies, kJ/mol of atoms: version A 0.0; version B 5.1.



Version A
# GGA-PBE PmSm5Ho2, optimized geometry
data_PmSm5Ho2
_chemical_formula_sum 'Pm2 Sm10 Ho4'
_symmetry_space_group_name_H-M 'P -1'
_symmetry_Int_Tables_number 2
_cell_length_a 5.8020
_cell_length_b 8.6180
_cell_length_c 11.3821
_cell_angle_alpha 90.03
_cell_angle_beta 90.05
_cell_angle_gamma 106.29
loop_
_symmetry_equiv_pos_as_xyz
'x,y,z'
'-x,-y,-z'
loop_
_atom_site_label
_atom_site_fract_x
_atom_site_fract_y
_atom_site_fract_z
Pm1 0.0033 0.1536 0.2504
Sm1 0.1608 0.2086 0.9238
Sm2 0.1624 0.2091 0.5766
Sm3 0.2658 0.5820 0.2499
Sm4 0.3054 0.6216 0.9219
Sm5 0.3062 0.6219 0.5783
Ho1 0.3912 0.9639 0.3826
Ho2 0.3934 0.9649 0.1179
# magnetization: 0.00 μB per cell



Version B
# GGA-PBE PmSm5Ho2, optimized geometry
data_PmSm5Ho2
_chemical_formula_sum 'Pm2 Sm10 Ho4'
_symmetry_space_group_name_H-M 'P b a m'
_symmetry_Int_Tables_number 55
_cell_length_a 7.2119
_cell_length_b 14.4243
_cell_length_c 5.0882
_cell_angle_alpha 90.00
_cell_angle_beta 90.00
_cell_angle_gamma 90.00
loop_
_symmetry_equiv_pos_as_xyz
'x,y,z'
'-x,-y,-z'
'-x,-y,z'
'x,y,-z'
'x+1/2,-y+1/2,-z'
'-x+1/2,y+1/2,z'
'-x+1/2,y+1/2,-z'
'x+1/2,-y+1/2,z'
loop_
_atom_site_label
_atom_site_fract_x
_atom_site_fract_y
_atom_site_fract_z
Pm1 0.0000 0.0000 0.0000
Sm1 0.0000 0.5000 0.0000
Sm2 0.0008 0.2502 0.0000
Sm3 0.2493 0.6252 0.5000
Ho1 0.2504 0.3750 0.5000
# magnetization: 0.00 μB per cell



Relative energies, kJ/mol of atoms: version A 14.6; version B 0.0.



Version A
# GGA-PBE Pm2Sm5Ho4, optimized geometry
data_Pm2Sm5Ho4
_chemical_formula_sum 'Pm2 Sm5 Ho4'
_symmetry_space_group_name_H-M 'P -1'
_symmetry_Int_Tables_number 2
_cell_length_a 6.5939
_cell_length_b 6.6453
_cell_length_c 9.0921
_cell_angle_alpha 69.48
_cell_angle_beta 78.49
_cell_angle_gamma 84.23
loop_
_symmetry_equiv_pos_as_xyz
'x,y,z'
'-x,-y,-z'
loop_
_atom_site_label
_atom_site_fract_x
_atom_site_fract_y
_atom_site_fract_z
Pm1 0.0936 0.4170 0.2102
Sm1 0.0000 0.0000 0.0000
Sm2 0.1801 0.8586 0.3642
Sm3 0.2966 0.3377 0.6068
Ho1 0.3943 0.8009 0.6948
Ho2 0.4790 0.2733 0.9493
# magnetization: 0.00 μB per cell



Version B
# GGA-PBE Pm2Sm5Ho4, optimized geometry
data_Pm2Sm5Ho4
_chemical_formula_sum 'Pm4 Sm10 Ho8'
_symmetry_space_group_name_H-M 'I m m m'
_symmetry_Int_Tables_number 71
_symmetry_space_group_name_Hall '-I 2 2'
_cell_length_a 3.5235
_cell_length_b 9.1242
_cell_length_c 23.4534
_cell_angle_alpha 90.00
_cell_angle_beta 90.00
_cell_angle_gamma 90.00
loop_
_atom_site_label
_atom_site_fract_x
_atom_site_fract_y
_atom_site_fract_z
Pm1 0.0000 0.0000 0.2316
Sm1 0.0000 0.1983 0.3562
Sm2 0.0000 0.5000 0.0000
Ho1 0.0000 0.0000 0.0966
Ho2 0.0000 0.3124 0.5000
# magnetization: 0.00 μB per cell



Relative energies, kJ/mol of atoms: version A 0.0; version B 10.5.